1.
The following is a PBE calculation of a relaxed Ce2Co4SbAs3 crystal, from Alexandria via LeMat-Bulk.

## Properties
E_form (uncorrected): -655 kJ/mol of formula units
Electronic total energy: -65.1 eV per formula unit
DOS(E_F): 5.7 states/eV/f.u.
Space-group type: P-4m2, No. 115
Calculated volume: 169.0 Å³/cell

a = 4.2071 Å, b = 4.2071 Å, c = 9.5458 Å
α = 90.00°, β = 90.00°, γ = 90.00°
With the nearest neighbours (Å) after each atom.
Fractional coordinates of all 10 atoms:
1 Co 0.5000 0.0000 0.6288  3 As 2.32-2.44, 2 Sb 2.44
2 As 0.0000 0.0000 0.5000  4 Co 2.44
3 As 0.0000 0.5000 0.1284  5 Co 2.32-2.43
4 Co 0.0000 0.5000 0.3712  3 As 2.32-2.44, 2 Sb 2.44
5 Ce 0.5000 0.0000 0.2341  8 Co 3.07-3.25, 6 As 3.14-3.30, 2 Sb 3.30
6 Co 0.5000 0.5000 0.0000  4 As 2.43
7 Sb 0.5000 0.5000 0.5000  4 Co 2.44
8 Ce 0.0000 0.5000 0.7659  8 Co 3.07-3.25, 6 As 3.14-3.30, 2 Sb 3.30
9 Co 0.0000 0.0000 0.0000  4 As 2.43
10 As 0.5000 0.0000 0.8716  5 Co 2.32-2.43

2.
The following is a PBE calculation of a relaxed Ti3TeC crystal, from Alexandria via LeMat-Bulk.

## Properties
E_form (uncorrected): -273 kJ/mol of formula units
Electronic total energy: -38.9 eV per formula unit
DOS(E_F): 2.5 states/eV/f.u.
Space-group type: C2/m, No. 12
Calculated volume: 191.3 Å³/cell

a = 4.1549 Å, b = 5.2727 Å, c = 10.1719 Å
α = 109.15°, β = 90.00°, γ = 113.20°
With the nearest neighbours (Å) after each atom.
Fractional coordinates of all 10 atoms:
1 Ti 0.8963 0.7925 0.8594  2 C 2.07-2.09
2 Te 0.4101 0.8201 0.6605  6 Ti 2.94-3.04
3 Ti 0.3555 0.7111 0.0509  3 C 2.09-2.11
4 Ti 0.1545 0.3089 0.7530  1 C 2.05
5 C 0.1248 0.2496 0.9430  6 Ti 2.05-2.11
6 Ti 0.8455 0.6911 0.2470  1 C 2.05
7 Te 0.5899 0.1799 0.3395  6 Ti 2.94-3.04
8 Ti 0.6445 0.2889 0.9491  3 C 2.09-2.11
9 Ti 0.1037 0.2075 0.1406  2 C 2.07-2.09
10 C 0.8752 0.7504 0.0570  6 Ti 2.05-2.11

Q: Look up the electronic total energy of the second one.
A: -38.9 eV per formula unit

Q: Among the records above, which one has the highest E_form (uncorrected)?
A: Ti3TeC